1.
Density functional theory data (PBE+U) for a geometry-optimized La2CrMoO6 structure.

Geometry as POSCAR:
```
La2CrMoO6
1.0
5.633 0.000 0.000
0.000 5.633 0.000
2.816 2.816 4.058
La Cr Mo O
2 1 1 6
Cartesian
2.816 5.633 2.029
5.633 2.816 2.029
2.816 2.816 4.058
5.633 5.633 4.058
5.633 5.633 1.968
2.816 2.816 2.090
1.754 0.978 0.000
3.879 4.654 0.000
4.654 1.754 0.000
0.978 3.879 0.000
```

Output
total DFT energy (no corrections) = -79.0 eV for the cell shown
calculated volume = 12.87 Å³ per atom
size of the total moment = 0.03 μB per formula unit
crystal system = tetragonal

=====

2.
Density functional theory data (PBE+U) for a geometry-optimized Sr3LaCr2Mo2O12 structure.

Geometry as POSCAR:
```
Sr3LaCr2Mo2O12
1.0
5.586 0.000 0.000
0.000 5.682 0.001
0.000 0.032 8.049
Sr La Cr Mo O
3 1 2 2 12
Cartesian
0.000 0.040 6.059
2.793 2.876 1.988
0.000 5.645 1.994
2.793 2.850 6.079
0.000 2.874 8.048
2.793 5.696 4.017
0.000 2.862 4.015
2.793 5.672 0.011
0.000 2.472 2.033
2.793 5.212 5.982
0.000 3.228 6.030
2.793 0.418 2.072
1.403 1.475 4.365
4.205 4.260 0.278
4.183 1.475 4.365
1.381 4.260 0.278
4.210 4.261 3.764
1.416 1.496 7.681
1.376 4.261 3.764
4.170 1.496 7.681
```

Output
total DFT energy (no corrections) = -147.1 eV for the cell shown
calculated volume = 12.77 Å³ per atom
size of the total moment = 9.00 μB per formula unit
crystal system = monoclinic

=====

3.
Density functional theory data (PBE+U) for a geometry-optimized LaZnCrMoO6 structure.

Geometry as POSCAR:
```
LaZnCrMoO6
1.0
5.525 0.000 0.000
0.000 5.438 0.002
0.000 5.412 7.986
La Zn Cr Mo O
2 2 2 2 12
Cartesian
3.935 5.399 5.999
1.590 2.694 2.006
1.235 8.140 6.051
4.291 5.434 2.058
4.145 8.144 4.000
1.381 5.438 0.007
4.215 8.137 7.985
1.311 5.431 3.992
0.975 4.973 1.940
5.351 9.722 7.500
5.200 4.342 4.350
2.461 9.129 7.534
2.392 3.698 4.526
3.943 3.401 2.033
4.551 7.679 5.933
0.174 7.016 3.507
0.325 1.636 0.357
3.064 6.423 3.541
3.133 0.992 0.533
1.582 6.107 6.026
```

Output
total DFT energy (no corrections) = -143.0 eV for the cell shown
calculated volume = 11.99 Å³ per atom
size of the total moment = 5.00 μB per formula unit
crystal system = monoclinic